Record 1
The following is a DFT calculation (GGA-PBE) of SbIrPd2O after structural relaxation.

The uncorrected formation energy comes out at 193 meV/atom.

It has space group P4/mmm (No. 123), with a = 4.629 Å, b = 4.629 Å, c = 3.842 Å, α = 90.00°, β = 90.00° and γ = 90.00°. The distinct sites, in fractional coordinates, are Sb at (0.000, 0.000, 0.000), Ir at (0.500, 0.500, 0.000), Pd at (0.000, 0.500, 0.500) and O at (0.500, 0.500, 0.500).


Record 2
The following is a DFT calculation (GGA-PBE) of SbIrPdO6 after structural relaxation.

The uncorrected formation energy comes out at -787 meV/atom.

It has space group P-31c (No. 163), with a = 5.2574 Å, b = 5.2574 Å, c = 8.9167 Å, α = 90.00°, β = 90.00° and γ = 120.00°. The distinct sites, in fractional coordinates, are Sb at (0.3333, 0.6667, 0.2500), Ir at (0.3333, 0.6667, 0.7500), Pd at (0.0000, 0.0000, 0.0000) and O at (0.0063, 0.3582, 0.6282).


Record 3
The following is a DFT calculation (GGA-PBE) of ScIrPdO6 after structural relaxation.

The uncorrected formation energy comes out at -1258 meV/atom.

It has space group P-31c (No. 163), with a = 5.1855 Å, b = 5.1855 Å, c = 8.7664 Å, α = 90.00°, β = 90.00° and γ = 120.00°. The distinct sites, in fractional coordinates, are Sc at (0.3333, 0.6667, 0.2500), Ir at (0.3333, 0.6667, 0.7500), Pd at (0.0000, 0.0000, 0.0000) and O at (0.0170, 0.3547, 0.6249).


Record 4
The following is a DFT calculation (GGA-PBE) of SnIrPdO6 after structural relaxation.

The uncorrected formation energy comes out at -783 meV/atom.

It has space group P-31c (No. 163), with a = 5.2301 Å, b = 5.2301 Å, c = 8.8831 Å, α = 90.00°, β = 90.00° and γ = 120.00°. The distinct sites, in fractional coordinates, are Sn at (0.0000, 0.0000, 0.0000), Ir at (0.3333, 0.6667, 0.2500), Pd at (0.3333, 0.6667, 0.7500) and O at (0.0066, 0.3526, 0.1277).


Record 5
The following is a DFT calculation (GGA-PBE) of Sr2IrPdO8 after structural relaxation.

The uncorrected formation energy comes out at -1212 meV/atom.

It has space group P-1 (No. 2), with a = 5.403 Å, b = 5.764 Å, c = 6.216 Å, α = 106.09°, β = 100.72° and γ = 107.23°. The distinct sites, in fractional coordinates, are Sr at (0.139, 0.374, 0.249), Ir at (0.500, 0.000, 0.000), Pd at (0.500, 0.000, 0.500), O at (0.116, 0.096, 0.522), O at (0.206, 0.092, 0.924), O at (0.305, 0.769, 0.153) and O at (0.382, 0.734, 0.663).


Record 6
The following is a DFT calculation (GGA-PBE) of SrIrPdO6 after structural relaxation.

The uncorrected formation energy comes out at -1104 meV/atom.

It has space group P-31c (No. 163), with a = 5.2864 Å, b = 5.2864 Å, c = 10.7827 Å, α = 90.00°, β = 90.00° and γ = 120.00°. The distinct sites, in fractional coordinates, are Sr at (0.0000, 0.0000, 0.0000), Ir at (0.3333, 0.6667, 0.2500), Pd at (0.3333, 0.6667, 0.7500) and O at (0.0103, 0.3754, 0.1497).


Record 7
The following is a DFT calculation (GGA-PBE) of TaIrPdO6 after structural relaxation.

The uncorrected formation energy comes out at -1372 meV/atom.

It has space group P4_2nm (No. 102), with a = 4.720 Å, b = 4.720 Å, c = 9.423 Å, α = 90.00°, β = 90.00° and γ = 90.00°. The distinct sites, in fractional coordinates, are Ta at (0.000, 0.000, 0.000), Ir at (0.000, 0.000, 0.665), Pd at (0.000, 0.000, 0.327), O at (0.189, 0.189, 0.833), O at (0.198, 0.198, 0.505) and O at (0.207, 0.207, 0.150).


Record 8
The following is a DFT calculation (GGA-PBE) of ThIrPdO6 after structural relaxation.

The uncorrected formation energy comes out at -1493 meV/atom.

It has space group P4_2nm (No. 102), with a = 4.904 Å, b = 4.904 Å, c = 10.062 Å, α = 90.00°, β = 90.00° and γ = 90.00°. The distinct sites, in fractional coordinates, are Th at (0.000, 0.000, 0.000), Ir at (0.000, 0.000, 0.327), Pd at (0.000, 0.000, 0.673), O at (0.178, 0.178, 0.483), O at (0.200, 0.200, 0.178) and O at (0.222, 0.222, 0.830).


Record 9
The following is a DFT calculation (GGA-PBE) of TlIrPdO4 after structural relaxation.

The uncorrected formation energy comes out at -554 meV/atom.

It has space group Imma (No. 74), with a = 5.817 Å, b = 6.293 Å, c = 11.231 Å, α = 90.00°, β = 90.00° and γ = 90.00°. The distinct sites, in fractional coordinates, are Tl at (0.000, 0.250, 0.166), Ir at (0.000, 0.000, 0.500), Pd at (0.250, 0.250, 0.750), O at (0.000, 0.044, 0.677) and O at (0.211, 0.250, 0.486).